[1]
Density functional theory data (PBE) for crystalline Na2CdGe3Pt4 at its relaxed geometry.

- N(E_F) (states/eV per cell) = 3.939
- mass density (g/cm³) = 9.764
- E_form (meV per atom) = -432
- SG = P-4m2, No. 115
- volume (Å³ per atom) = 19.67
- total moment (μB per formula unit) = 0.0

Cell lengths 4.2703, 4.2703, 10.7866 Å; angles 90.00, 90.00, 90.00 degrees
Sites, in units of the cell vectors:
Na (0.5000, 0.0000, 0.2451)
Na (0.0000, 0.5000, 0.7549)
Cd (0.5000, 0.5000, 0.5000)
Ge (0.0000, 0.0000, 0.5000)
Ge (0.5000, 0.0000, 0.8742)
Ge (0.0000, 0.5000, 0.1258)
Pt (0.5000, 0.5000, 0.0000)
Pt (0.0000, 0.0000, 0.0000)
Pt (0.5000, 0.0000, 0.6496)
Pt (0.0000, 0.5000, 0.3504)

[2]
Density functional theory data (PBE) for crystalline SmS2O6 at its relaxed geometry.

- N(E_F) (states/eV per cell) = 1.749
- mass density (g/cm³) = 2.948
- SG = R3, No. 146
- volume (Å³ per atom) = 19.43
- total moment (μB per formula unit) = 1.0
- ΔE_f (raw) (eV per atom) = -1.591

Cell lengths 5.5278, 5.5278, 7.3384 Å; angles 67.87, 67.87, 60.00 degrees
Sites, in units of the cell vectors:
Sm (0.3332, 0.3332, 0.0003)
S (0.7302, 0.7302, 0.8095)
S (0.6028, 0.6028, 0.1917)
O (0.6014, 0.5986, 0.7438)
O (0.0562, 0.6014, 0.7438)
O (0.5986, 0.0562, 0.7438)
O (0.4264, 0.4314, 0.2567)
O (0.8855, 0.4264, 0.2567)
O (0.4314, 0.8855, 0.2567)

[3]
Density functional theory data (PBE) for crystalline CrIn2Pb at its relaxed geometry.

- N(E_F) (states/eV per cell) = 2.130
- mass density (g/cm³) = 8.194
- E_form (meV per atom) = 285
- SG = P4mm, No. 99
- volume (Å³ per atom) = 24.77
- total moment (μB per formula unit) = 3.9

Cell lengths 3.3218, 3.3217, 8.9780 Å; angles 90.00, 90.00, 90.00 degrees
Sites, in units of the cell vectors:
Cr (0.5000, 0.5000, 0.7633)
In (0.0000, 0.0000, 0.9587)
In (0.5000, 0.5000, 0.2335)
Pb (0.0000, 0.0000, 0.5445)

[4]
Density functional theory data (PBE) for crystalline Sb2Rh at its relaxed geometry.

- N(E_F) (states/eV per cell) = 3.236
- mass density (g/cm³) = 8.770
- SG = C2/m, No. 12
- volume (Å³ per atom) = 21.87
- total moment (μB per formula unit) = 0.0
- ΔE_f (raw) (eV per atom) = -0.244

Cell lengths 5.7053, 5.7053, 7.6079 Å; angles 56.47, 56.47, 41.00 degrees
Sites, in units of the cell vectors:
Sb (0.8444, 0.8444, 0.5388)
Sb (0.5977, 0.5977, 0.1115)
Sb (0.4023, 0.4023, 0.8885)
Sb (0.1556, 0.1556, 0.4612)
Rh (0.1742, 0.1742, 0.8208)
Rh (0.8258, 0.8258, 0.1792)

[5]
Density functional theory data (PBE) for crystalline Er8Bi2Au at its relaxed geometry.

- N(E_F) (states/eV per cell) = 11.408
- mass density (g/cm³) = 10.297
- E_form (meV per atom) = -395
- SG = C2/m, No. 12
- volume (Å³ per atom) = 28.63
- total moment (μB per formula unit) = 0.0

Cell lengths 5.0839, 6.8816, 9.3645 Å; angles 87.37, 105.75, 90.00 degrees
Sites, in units of the cell vectors:
Er (0.4095, 0.4329, 0.8191)
Er (0.6543, 0.0927, 0.3085)
Er (0.7875, 0.6286, 0.5750)
Er (0.0287, 0.2481, 0.0574)
Er (0.2125, 0.3714, 0.4250)
Er (0.3457, 0.9073, 0.6915)
Er (0.5905, 0.5671, 0.1809)
Er (0.9713, 0.7519, 0.9426)
Bi (0.8328, 0.1731, 0.6655)
Bi (0.1672, 0.8269, 0.3345)
Au (0.5000, 0.0000, 0.0000)

[6]
Density functional theory data (PBE) for crystalline Tm6Se3S2N at its relaxed geometry.

- N(E_F) (states/eV per cell) = 3.747
- mass density (g/cm³) = 8.980
- SG = C2/m, No. 12
- volume (Å³ per atom) = 20.47
- total moment (μB per formula unit) = 0.0
- ΔE_f (raw) (eV per atom) = -1.768

Cell lengths 6.6269, 6.6269, 6.8219 Å; angles 99.34, 99.34, 119.90 degrees
Sites, in units of the cell vectors:
Tm (0.9303, 0.6231, 0.7914)
Tm (0.7638, 0.7638, 0.2126)
Tm (0.0697, 0.3769, 0.2086)
Tm (0.6231, 0.9303, 0.7914)
Tm (0.2362, 0.2362, 0.7874)
Tm (0.3769, 0.0697, 0.2086)
Se (0.1719, 0.8281, 0.5000)
Se (0.8281, 0.1719, 0.5000)
Se (0.5000, 0.5000, 0.5000)
S (0.3339, 0.6661, 0.0000)
S (0.6661, 0.3339, 0.0000)
N (0.0000, 0.0000, 0.0000)